Entry 1:
A relaxed Pm4Al2InAg crystal. Source: Alexandria via LeMat-Bulk, functional PBE.

```
8
Lattice="2.6502 1.5301 8.7368 -2.6502 1.5301 8.7368 0.0000 -3.0602 8.7368" Properties=species:S:1:pos:R:3 pbc="T T T"
Pm 0.0000 0.0000 3.1979
Pm 0.0000 0.0000 9.7546
Pm 0.0000 0.0000 16.4557
Pm 0.0000 0.0000 23.0124
Al 0.0000 0.0000 6.5364
Al 0.0000 0.0000 19.6739
In 0.0000 0.0000 13.1051
Ag 0.0000 0.0000 0.0000
```

Values from the calculation:
Volume ... 212.57 Å³/f.u.
Energy relative to the elements ... -0.35 eV/atom
ρ ... 6.7 Mg/m³

Entry 2:
A relaxed PuInCl3 crystal. Source: Alexandria via LeMat-Bulk, functional PBE.

```
5
Lattice="5.5261 0.0000 0.0000 0.0000 5.5261 0.0000 0.0000 0.0000 5.5261" Properties=species:S:1:pos:R:3 pbc="T T T"
Pu 0.0000 0.0000 0.0000
In 2.7631 2.7631 2.7631
Cl 0.0000 0.0000 2.7631
Cl 0.0000 2.7631 0.0000
Cl 2.7631 0.0000 0.0000
```

Values from the calculation:
Volume ... 168.75 Å³/f.u.
ρ ... 4.6 Mg/m³
Raw formation energy ... -6.6 eV per formula unit

Entry 3:
A relaxed TmThV crystal. Source: Alexandria via LeMat-Bulk, functional PBE.

```
6
Lattice="4.9949 0.0000 0.0000 0.0000 5.0219 0.0000 -2.4967 0.0000 6.0915" Properties=species:S:1:pos:R:3 pbc="T T T"
Tm -0.0018 1.2555 1.2244
Tm 2.4999 3.7664 4.8672
Th 0.0028 1.2555 4.8568
Th 2.4954 3.7664 1.2347
V 0.0010 3.7664 3.0544
V 2.4972 1.2555 3.0372
```

Values from the calculation:
Volume ... 76.40 Å³/f.u.
Energy relative to the elements ... 0.25 eV/atom
ρ ... 9.8 Mg/m³

Entry 4:
A relaxed BeFeAu2 crystal. Source: Alexandria via LeMat-Bulk, functional PBE.

```
4
Lattice="3.1436 -3.1630 0.0000 3.1436 3.1630 0.0000 0.0000 0.0000 2.9132" Properties=species:S:1:pos:R:3 pbc="T T T"
Be 0.0000 0.0000 0.0000
Fe 3.1436 0.0000 0.0000
Au 1.5718 1.5815 1.4566
Au 1.5718 -1.5815 1.4566
```

Values from the calculation:
Volume ... 57.93 Å³/f.u.
Energy relative to the elements ... 0.12 eV/atom
ρ ... 13.2 Mg/m³

Q: Which formula does entry 3 have?
A: TmThV